Entry from Alexandria via LeMat-Bulk: an optimized crystal structure of TlZn2TcP (PBE).

Lattice parameters (Å, degrees): 4.7446 4.4981 4.7446 90.00 90.00 90.00
Last column: magnetic moment on the atom in μB.
Atoms (fractional coordinates):
Zn1 0.0000 0.0000 0.5000  -0.01
Zn2 0.5000 0.0000 0.0000  -0.01
Tl1 0.5000 0.5000 0.5000  0.01
Tc1 0.0000 0.5000 0.0000  0.96
P1 0.0000 0.0000 0.0000  -0.03

symmetry = P4/mmm (123)
energy of formation = 483 meV/atom
crystal system = tetragonal
magnetization = 0.967 μB/f.u.
E_tot = -3.655 eV per atom

Entry from Alexandria via LeMat-Bulk: an optimized crystal structure of TmTc4P4 (PBE).

Lattice parameters (Å, degrees): 5.9545 5.9545 7.7962 90.00 90.00 90.00
Atoms (fractional coordinates):
Tm1 0.0000 0.0000 0.0000
Tm2 0.5000 0.5000 0.5000
Tc1 0.2467 0.5000 0.8727
Tc2 0.7533 0.5000 0.8727
Tc3 0.5000 0.7533 0.1273
Tc4 0.5000 0.2467 0.1273
Tc5 0.0000 0.7467 0.3727
Tc6 0.0000 0.2533 0.3727
Tc7 0.2533 0.0000 0.6273
Tc8 0.7467 0.0000 0.6273
P1 0.5000 0.8001 0.8267
P2 0.5000 0.1999 0.8267
P3 0.8001 0.5000 0.1733
P4 0.1999 0.5000 0.1733
P5 0.3001 0.0000 0.3267
P6 0.6999 0.0000 0.3267
P7 0.0000 0.3001 0.6733
P8 0.0000 0.6999 0.6733

symmetry = P4_2/nmc (137)
energy of formation = -546 meV/atom
crystal system = tetragonal
magnetization = 0.000 μB/f.u.
E_tot = -8.055 eV per atom

Entry from Alexandria via LeMat-Bulk: an optimized crystal structure of TmTc3P2 (PBE).

Lattice parameters (Å, degrees): 4.0269 8.0697 9.4098 105.30 90.00 104.45
Atoms (fractional coordinates):
Tm1 0.1623 0.3245 0.7109
Tm2 0.8377 0.6755 0.2891
Tm3 0.0000 0.0000 0.0000
Tc1 0.0346 0.0693 0.3583
Tc2 0.9654 0.9307 0.6417
Tc3 0.2082 0.4164 0.3895
Tc4 0.7918 0.5836 0.6105
Tc5 0.6168 0.2337 0.2015
Tc6 0.3832 0.7663 0.7985
Tc7 0.5000 0.0000 0.5000
Tc8 0.3204 0.6407 0.0215
Tc9 0.6796 0.3593 0.9785
P1 0.1982 0.3964 0.1338
P2 0.8018 0.6036 0.8662
P3 0.4587 0.9174 0.2079
P4 0.5413 0.0826 0.7921
P5 0.3530 0.7059 0.5366
P6 0.6470 0.2941 0.4634

symmetry = C2/m (12)
energy of formation = -639 meV/atom
crystal system = monoclinic
magnetization = 0.000 μB/f.u.
E_tot = -8.371 eV per atom